## P
{
  "formula": "La5Pr12Ho2",
  "functional": "PBE",
  "state": "relaxed",
  "space_group": "No. 71",
  "magmom_total_mub_per_fu": 0.0,
  "cell": [[-2.644, 5.276, 12.563], [2.644, -5.276, 12.563], [2.644, 5.276, -12.563]],
  "species": ["La", "La", "La", "La", "La", "Pr", "Pr", "Pr", "Pr", "Pr", "Pr", "Pr", "Pr", "Pr", "Pr", "Pr", "Pr", "Ho", "Ho"],
  "fractional_positions": [[0.000, 0.000, 0.000], [0.199, 0.199, 0.000], [0.302, 0.802, 0.500], [0.698, 0.198, 0.500], [0.801, 0.801, 0.000], [0.059, 0.304, 0.755], [0.100, 0.600, 0.500], [0.164, 0.906, 0.258], [0.351, 0.094, 0.258], [0.409, 0.409, 0.000], [0.451, 0.696, 0.755], [0.549, 0.304, 0.245], [0.591, 0.591, 0.000], [0.649, 0.906, 0.742], [0.836, 0.094, 0.742], [0.900, 0.400, 0.500], [0.941, 0.696, 0.245], [0.227, 0.500, 0.727], [0.773, 0.500, 0.273]]
}

## Q
{
  "formula": "La5Pr12Ho2",
  "functional": "PBE",
  "state": "relaxed",
  "space_group": "No. 12",
  "magmom_total_mub_per_fu": 0.0,
  "cell": [[9.545, -3.687, 0.000], [9.545, 3.687, 0.000], [-3.857, 0.000, 9.824]],
  "species": ["La", "La", "La", "La", "La", "Pr", "Pr", "Pr", "Pr", "Pr", "Pr", "Pr", "Pr", "Pr", "Pr", "Pr", "Pr", "Ho", "Ho"],
  "fractional_positions": [[0.000, 0.000, 0.000], [0.183, 0.183, 0.688], [0.327, 0.327, 0.290], [0.673, 0.673, 0.710], [0.817, 0.817, 0.312], [0.021, 0.021, 0.735], [0.085, 0.582, 0.977], [0.089, 0.592, 0.631], [0.408, 0.911, 0.369], [0.418, 0.915, 0.023], [0.498, 0.498, 0.180], [0.502, 0.502, 0.820], [0.582, 0.085, 0.977], [0.592, 0.089, 0.631], [0.911, 0.408, 0.369], [0.915, 0.418, 0.023], [0.979, 0.979, 0.265], [0.286, 0.714, 0.500], [0.714, 0.286, 0.500]]
}

Least stable: Q

## P
{
  "formula": "La3Pr4Ho4",
  "functional": "PBE",
  "state": "relaxed",
  "space_group": "No. 38",
  "magmom_total_mub_per_fu": 0.0,
  "cell": [[11.647, 0.000, 0.000], [0.000, 2.909, 5.743], [0.000, -2.909, 5.743]],
  "species": ["La", "La", "La", "Pr", "Pr", "Pr", "Pr", "Ho", "Ho", "Ho", "Ho"],
  "fractional_positions": [[0.000, 0.000, 0.000], [0.318, 0.134, 0.134], [0.682, 0.134, 0.134], [0.000, 0.689, 0.689], [0.224, 0.490, 0.490], [0.500, 0.696, 0.696], [0.776, 0.490, 0.490], [0.000, 0.307, 0.307], [0.255, 0.824, 0.824], [0.500, 0.388, 0.388], [0.745, 0.824, 0.824]]
}

## Q
{
  "formula": "La3Pr4Ho4",
  "functional": "PBE",
  "state": "relaxed",
  "space_group": "No. 71",
  "magmom_total_mub_per_fu": 0.0,
  "cell": [[-1.833, 2.592, 19.969], [1.833, -2.592, 19.969], [1.833, 2.592, -19.969]],
  "species": ["La", "La", "La", "Pr", "Pr", "Pr", "Pr", "Ho", "Ho", "Ho", "Ho"],
  "fractional_positions": [[0.000, 0.000, 0.000], [0.363, 0.363, 0.000], [0.637, 0.637, 0.000], [0.184, 0.184, 0.000], [0.453, 0.453, 0.000], [0.547, 0.547, 0.000], [0.816, 0.816, 0.000], [0.091, 0.091, 0.000], [0.272, 0.272, 0.000], [0.728, 0.728, 0.000], [0.909, 0.909, 0.000]]
}

Least stable: P

## P
{
  "formula": "LaPrHo6",
  "functional": "PBE",
  "state": "relaxed",
  "space_group": "No. 123",
  "magmom_total_mub_per_fu": 0.0,
  "cell": [[5.060, 0.000, 0.000], [0.000, 5.060, 0.000], [0.000, 0.000, 10.129]],
  "species": ["La", "Pr", "Ho", "Ho", "Ho", "Ho", "Ho", "Ho"],
  "fractional_positions": [[0.000, 0.000, 0.000], [0.000, 0.000, 0.500], [0.000, 0.500, 0.252], [0.000, 0.500, 0.748], [0.500, 0.000, 0.252], [0.500, 0.000, 0.748], [0.500, 0.500, 0.000], [0.500, 0.500, 0.500]]
}

## Q
{
  "formula": "LaPrHo6",
  "functional": "PBE",
  "state": "relaxed",
  "space_group": "No. 12",
  "magmom_total_mub_per_fu": 0.0,
  "cell": [[10.381, 0.000, 0.000], [0.000, 6.700, 0.000], [-2.208, 0.000, 8.240]],
  "species": ["La", "La", "Pr", "Pr", "Ho", "Ho", "Ho", "Ho", "Ho", "Ho", "Ho", "Ho", "Ho", "Ho", "Ho", "Ho"],
  "fractional_positions": [[0.000, 0.000, 0.000], [0.500, 0.500, 0.000], [0.000, 0.000, 0.500], [0.500, 0.500, 0.500], [0.123, 0.500, 0.421], [0.200, 0.259, 0.798], [0.200, 0.741, 0.798], [0.300, 0.241, 0.202], [0.300, 0.759, 0.202], [0.377, 0.000, 0.579], [0.623, 0.000, 0.421], [0.700, 0.241, 0.798], [0.700, 0.759, 0.798], [0.800, 0.259, 0.202], [0.800, 0.741, 0.202], [0.877, 0.500, 0.579]]
}

Least stable: Q

## P
{
  "formula": "LaPr3Ho4",
  "functional": "PBE",
  "state": "relaxed",
  "space_group": "No. 71",
  "magmom_total_mub_per_fu": 0.0,
  "cell": [[3.460, 0.000, 0.000], [0.000, 11.767, 0.000], [0.000, 0.000, 13.327]],
  "species": ["La", "La", "Pr", "Pr", "Pr", "Pr", "Pr", "Pr", "Ho", "Ho", "Ho", "Ho", "Ho", "Ho", "Ho", "Ho"],
  "fractional_positions": [[0.000, 0.000, 0.000], [0.500, 0.500, 0.500], [0.000, 0.000, 0.500], [0.000, 0.500, 0.258], [0.000, 0.500, 0.742], [0.500, 0.000, 0.242], [0.500, 0.000, 0.758], [0.500, 0.500, 0.000], [0.000, 0.250, 0.135], [0.000, 0.250, 0.865], [0.000, 0.750, 0.135], [0.000, 0.750, 0.865], [0.500, 0.250, 0.365], [0.500, 0.250, 0.635], [0.500, 0.750, 0.365], [0.500, 0.750, 0.635]]
}

## Q
{
  "formula": "LaPr3Ho4",
  "functional": "PBE",
  "state": "relaxed",
  "space_group": "No. 31",
  "magmom_total_mub_per_fu": 0.0,
  "cell": [[11.672, 0.000, 0.000], [0.000, 7.354, 0.000], [0.000, 0.000, 6.334]],
  "species": ["La", "La", "Pr", "Pr", "Pr", "Pr", "Pr", "Pr", "Ho", "Ho", "Ho", "Ho", "Ho", "Ho", "Ho", "Ho"],
  "fractional_positions": [[0.000, 0.127, 0.000], [0.500, 0.873, 0.500], [0.000, 0.871, 0.501], [0.250, 0.130, 0.338], [0.250, 0.870, 0.838], [0.500, 0.129, 0.001], [0.750, 0.130, 0.338], [0.750, 0.870, 0.838], [0.000, 0.381, 0.503], [0.000, 0.620, 0.003], [0.250, 0.380, 0.835], [0.250, 0.620, 0.335], [0.500, 0.380, 0.503], [0.500, 0.619, 0.003], [0.750, 0.380, 0.835], [0.750, 0.620, 0.335]]
}

Least stable: P